No. 1
Here is a relaxed structure of YFeSe2 from Alexandria via LeMat-Bulk. Energies are from PBE.

Cell: 6.8628 6.8628 6.8628 Å, 90.00 90.00 90.00°
Last column: nearest neighbours and their distance in Å.
Atoms (fractional coordinates):
Y1 0.0000 0.0000 0.0000  4 Fe 2.97, 4 Se 2.97
Y2 0.0000 0.5000 0.5000  4 Se 2.97, 4 Fe 2.97
Y3 0.5000 0.0000 0.5000  4 Se 2.97, 4 Fe 2.97
Y4 0.5000 0.5000 0.0000  4 Se 2.97, 4 Fe 2.97
Fe1 0.2500 0.2500 0.7500  4 Se 2.97, 4 Y 2.97
Fe2 0.2500 0.7500 0.2500  4 Se 2.97, 4 Y 2.97
Fe3 0.7500 0.2500 0.2500  4 Se 2.97, 4 Y 2.97
Fe4 0.7500 0.7500 0.7500  4 Se 2.97, 4 Y 2.97
Se1 0.0000 0.0000 0.5000  4 Se 2.97, 4 Fe 2.97
Se2 0.0000 0.5000 0.0000  4 Se 2.97, 4 Fe 2.97
Se3 0.2500 0.2500 0.2500  4 Se 2.97, 4 Y 2.97
Se4 0.2500 0.7500 0.7500  4 Se 2.97, 4 Y 2.97
Se5 0.5000 0.0000 0.0000  4 Se 2.97, 4 Fe 2.97
Se6 0.5000 0.5000 0.5000  4 Se 2.97, 4 Fe 2.97
Se7 0.7500 0.2500 0.7500  4 Se 2.97, 4 Y 2.97
Se8 0.7500 0.7500 0.2500  4 Se 2.97, 4 Y 2.97

Results
uncorrected energy = -5.597 eV per atom
theoretical density = 6220 kg/m³
E_form (uncorrected) = -123 meV per atom
symmetry = F-43m, No. 216



No. 2
Here is a relaxed structure of Ac4CdIrN from Alexandria via LeMat-Bulk. Energies are from PBE.

Cell: 7.1970 7.4331 9.2434 Å, 90.00 108.78 90.00°
Last column: nearest neighbours and their distance in Å.
Atoms (fractional coordinates):
Ac1 0.0101 0.0045 0.2156  1 N 2.43
Ac2 0.0101 0.4955 0.2156  1 N 2.43
Ac3 0.4284 0.7500 0.6512  1 N 2.40
Ac4 0.4437 0.7500 0.0706  1 N 2.43
Ac5 0.5563 0.2500 0.9294  1 N 2.43
Ac6 0.5716 0.2500 0.3488  1 N 2.40
Ac7 0.9899 0.5045 0.7844  1 N 2.43
Ac8 0.9899 0.9955 0.7844  1 N 2.43
Cd1 0.2363 0.2500 0.5604  6 Ac 3.45-3.66
Cd2 0.7637 0.7500 0.4396  6 Ac 3.45-3.66
Ir1 0.2237 0.2500 0.0506  6 Ac 2.95-3.13
Ir2 0.7763 0.7500 0.9494  6 Ac 2.95-3.13
N1 0.2213 0.7500 0.8091  4 Ac 2.40-2.43
N2 0.7787 0.2500 0.1909  4 Ac 2.40-2.43

Results
uncorrected energy = -5.536 eV per atom
theoretical density = 8702 kg/m³
E_form (uncorrected) = -603 meV per atom
symmetry = P2_1/m, No. 11



No. 3
Here is a relaxed structure of RuPtSe2 from Alexandria via LeMat-Bulk. Energies are from PBE.

Cell: 6.4648 6.4648 6.4648 Å, 90.00 90.00 90.00°
Last column: nearest neighbours and their distance in Å.
Atoms (fractional coordinates):
Ru1 0.0000 0.0000 0.0000  4 Pt 2.80, 4 Se 2.80
Ru2 0.0000 0.5000 0.5000  4 Pt 2.80, 4 Se 2.80
Ru3 0.5000 0.0000 0.5000  4 Pt 2.80, 4 Se 2.80
Ru4 0.5000 0.5000 0.0000  4 Pt 2.80, 4 Se 2.80
Pt1 0.2500 0.2500 0.2500  4 Se 2.80, 4 Ru 2.80
Pt2 0.2500 0.7500 0.7500  4 Se 2.80, 4 Ru 2.80
Pt3 0.7500 0.2500 0.7500  4 Se 2.80, 4 Ru 2.80
Pt4 0.7500 0.7500 0.2500  4 Se 2.80, 4 Ru 2.80
Se1 0.0000 0.0000 0.5000  4 Se 2.80, 4 Pt 2.80
Se2 0.0000 0.5000 0.0000  4 Se 2.80, 4 Pt 2.80
Se3 0.2500 0.2500 0.7500  4 Se 2.80, 4 Ru 2.80
Se4 0.2500 0.7500 0.2500  4 Se 2.80, 4 Ru 2.80
Se5 0.5000 0.0000 0.0000  4 Se 2.80, 4 Pt 2.80
Se6 0.5000 0.5000 0.5000  4 Se 2.80, 4 Pt 2.80
Se7 0.7500 0.2500 0.2500  4 Se 2.80, 4 Ru 2.80
Se8 0.7500 0.7500 0.7500  4 Se 2.80, 4 Ru 2.80

Results
uncorrected energy = -4.919 eV per atom
theoretical density = 11163 kg/m³
E_form (uncorrected) = 653 meV per atom
symmetry = F-43m, No. 216



No. 4
Here is a relaxed structure of LaGeB2Os from Alexandria via LeMat-Bulk. Energies are from PBE.

Cell: 4.2442 4.2442 5.4544 Å, 90.00 90.00 90.00°
Last column: nearest neighbours and their distance in Å.
Atoms (fractional coordinates):
La1 0.0000 0.0000 0.0000  2 Os 2.73, 4 Ge 3.00
Ge1 0.5000 0.5000 0.0000  4 La 3.00
B1 0.0000 0.5000 0.5000  2 Os 2.12
B2 0.5000 0.0000 0.5000  2 Os 2.12
Os1 0.0000 0.0000 0.5000  4 B 2.12

Results
uncorrected energy = -6.236 eV per atom
theoretical density = 7156 kg/m³
symmetry = P4/mmm, No. 123
E_form = 2.95 eV per formula unit



No. 5
Here is a relaxed structure of SrTa2Ag from Alexandria via LeMat-Bulk. Energies are from PBE.

Cell: 3.4812 3.4812 7.8075 Å, 90.00 90.00 90.00°
Last column: nearest neighbours and their distance in Å.
Atoms (fractional coordinates):
Sr1 0.0000 0.0000 0.0000  4 Ag 3.39, 4 Sr 3.48, 5 Ta 3.51-3.73
Ta1 0.0000 0.0000 0.4780  4 Ta 2.75, 4 Ag 3.02
Ta2 0.5000 0.5000 0.3206  4 Ta 2.75, 1 Ag 2.97
Ag1 0.5000 0.5000 0.7016  5 Ta 2.97-3.02

Results
uncorrected energy = -6.637 eV per atom
theoretical density = 9782 kg/m³
symmetry = P4mm, No. 99
E_form = 1.69 eV per formula unit



No. 6
Here is a relaxed structure of NaCeB12 from Alexandria via LeMat-Bulk. Energies are from PBE.

Cell: 4.1438 4.1438 8.2901 Å, 90.00 90.00 90.00°
Last column: nearest neighbours and their distance in Å.
Atoms (fractional coordinates):
Na1 0.0000 0.0000 0.0000  24 B 3.05-3.06
Ce1 0.0000 0.0000 0.5000  24 B 3.04
B1 0.2011 0.5000 0.2519  5 B 1.67-1.76
B2 0.2011 0.5000 0.7481  5 B 1.67-1.76
B3 0.5000 0.2011 0.2519  5 B 1.67-1.76
B4 0.5000 0.2011 0.7481  5 B 1.67-1.76
B5 0.5000 0.5000 0.1013  5 B 1.68-1.76
B6 0.5000 0.5000 0.4007  5 B 1.65-1.75
B7 0.5000 0.5000 0.5993  5 B 1.65-1.75
B8 0.5000 0.5000 0.8987  5 B 1.68-1.76
B9 0.5000 0.7989 0.2519  5 B 1.67-1.76
B10 0.5000 0.7989 0.7481  5 B 1.67-1.76
B11 0.7989 0.5000 0.2519  5 B 1.67-1.76
B12 0.7989 0.5000 0.7481  5 B 1.67-1.76

Results
uncorrected energy = -6.566 eV per atom
theoretical density = 3416 kg/m³
symmetry = P4/mmm, No. 123
E_form = -4.54 eV per formula unit



No. 7
Here is a relaxed structure of TaSeBr2F from Alexandria via LeMat-Bulk. Energies are from PBE.

Cell: 5.1156 5.1156 4.9189 Å, 90.00 90.00 90.00°
Last column: nearest neighbours and their distance in Å.
Atoms (fractional coordinates):
Ta1 0.0000 0.0000 0.0000  2 Se 2.46, 4 Br 2.56
Se1 0.0000 0.0000 0.5000  2 Ta 2.46
Br1 0.0000 0.5000 0.0000  2 Ta 2.56
Br2 0.5000 0.0000 0.0000  2 Ta 2.56
F1 0.5000 0.5000 0.5000  8 Br 3.55, 4 Se 3.62

Results
uncorrected energy = -4.549 eV per atom
theoretical density = 5659 kg/m³
E_form (uncorrected) = -438 meV per atom
symmetry = P4/mmm, No. 123



No. 8
Here is a relaxed structure of TaV2Rh5 from Alexandria via LeMat-Bulk. Energies are from PBE.

Cell: 5.4759 10.9186 3.8695 Å, 90.00 90.00 90.00°
Last column: nearest neighbours and their distance in Å.
Atoms (fractional coordinates):
Ta1 0.0000 0.0000 0.0000  8 Rh 2.68-2.74, 4 V 2.91
Ta2 0.5000 0.5000 0.0000  8 Rh 2.68-2.74, 4 V 2.91
V1 0.2108 0.3627 0.5000  10 Rh 2.60-2.88
V2 0.2892 0.8627 0.5000  10 Rh 2.60-2.88
V3 0.7108 0.1373 0.5000  10 Rh 2.60-2.88
V4 0.7892 0.6373 0.5000  10 Rh 2.60-2.88
Rh1 0.0000 0.5000 0.0000  4 V 2.71, 2 Ta 2.74, 6 Rh 2.75-2.76
Rh2 0.0221 0.7521 0.0000  4 V 2.63-2.71, 1 Ta 2.71, 7 Rh 2.74-2.76
Rh3 0.2367 0.1222 0.5000  4 V 2.60-2.88, 2 Ta 2.68, 6 Rh 2.74-2.76
Rh4 0.2633 0.6222 0.5000  4 V 2.60-2.88, 2 Ta 2.68, 6 Rh 2.74-2.76
Rh5 0.4779 0.2521 0.0000  4 V 2.63-2.71, 1 Ta 2.71, 7 Rh 2.74-2.76
Rh6 0.5000 0.0000 0.0000  4 V 2.71, 2 Ta 2.74, 6 Rh 2.75-2.76
Rh7 0.5221 0.7479 0.0000  4 V 2.63-2.71, 1 Ta 2.71, 7 Rh 2.74-2.76
Rh8 0.7367 0.3778 0.5000  4 V 2.60-2.88, 2 Ta 2.68, 6 Rh 2.74-2.76
Rh9 0.7633 0.8778 0.5000  4 V 2.60-2.88, 2 Ta 2.68, 6 Rh 2.74-2.76
Rh10 0.9779 0.2479 0.0000  4 V 2.63-2.71, 1 Ta 2.71, 7 Rh 2.74-2.76

Results
uncorrected energy = -8.747 eV per atom
theoretical density = 11446 kg/m³
symmetry = Pbam, No. 55
E_form = -3.13 eV per formula unit



No. 9
Here is a relaxed structure of Na2HoTl5 from Alexandria via LeMat-Bulk. Energies are from PBE.

Cell: 8.0008 8.0008 6.9263 Å, 90.00 90.00 90.00°
Last column: nearest neighbours and their distance in Å.
Atoms (fractional coordinates):
Na1 0.0000 0.5000 0.0000  8 Tl 3.32, 2 Na 3.46
Na2 0.0000 0.5000 0.5000  8 Tl 3.32, 2 Na 3.46
Na3 0.5000 0.0000 0.0000  8 Tl 3.32, 2 Na 3.46
Na4 0.5000 0.0000 0.5000  8 Tl 3.32, 2 Na 3.46
Ho1 0.0000 0.0000 0.0004  10 Tl 3.32-3.47
Ho2 0.5000 0.5000 0.5004  10 Tl 3.32-3.47
Tl1 0.0000 0.0000 0.4996  8 Tl 3.32, 2 Ho 3.46-3.47
Tl2 0.2502 0.2502 0.2502  2 Ho 3.32, 4 Na 3.32, 4 Tl 3.32-3.46
Tl3 0.2498 0.2498 0.7502  2 Ho 3.32, 4 Na 3.32, 4 Tl 3.32-3.46
Tl4 0.2502 0.7498 0.2502  2 Ho 3.32, 4 Na 3.32, 4 Tl 3.32-3.46
Tl5 0.2498 0.7502 0.7502  2 Ho 3.32, 4 Na 3.32, 4 Tl 3.32-3.46
Tl6 0.5000 0.5000 0.9996  8 Tl 3.32, 2 Ho 3.46-3.47
Tl7 0.7498 0.2502 0.2502  2 Ho 3.32, 4 Na 3.32, 4 Tl 3.32-3.46
Tl8 0.7502 0.2498 0.7502  2 Ho 3.32, 4 Na 3.32, 4 Tl 3.32-3.46
Tl9 0.7498 0.7498 0.2502  2 Ho 3.32, 4 Na 3.32, 4 Tl 3.32-3.46
Tl10 0.7502 0.7502 0.7502  2 Ho 3.32, 4 Na 3.32, 4 Tl 3.32-3.46

Results
uncorrected energy = -2.534 eV per atom
theoretical density = 9234 kg/m³
symmetry = I4mm, No. 107
E_form = -1.22 eV per formula unit



No. 10
Here is a relaxed structure of OsPtPb2 from Alexandria via LeMat-Bulk. Energies are from PBE.

Cell: 3.1890 3.1890 9.0309 Å, 90.00 90.00 90.00°
Last column: nearest neighbours and their distance in Å.
Atoms (fractional coordinates):
Os1 0.0000 0.0000 0.0000  4 Pt 2.66
Pt1 0.5000 0.5000 0.8440  4 Os 2.66
Pb1 0.0000 0.0000 0.6156  4 Pt 3.06, 4 Pb 3.19
Pb2 0.5000 0.5000 0.2302  4 Os 3.07, 4 Pb 3.19

Results
uncorrected energy = -5.780 eV per atom
theoretical density = 14459 kg/m³
symmetry = P4mm, No. 99
E_form = 1.57 eV per formula unit



No. 11
Here is a relaxed structure of La2CuPd3Au12 from Alexandria via LeMat-Bulk. Energies are from PBE.

Cell: 9.7042 9.7042 9.7042 Å, 43.78 43.78 43.78°
Last column: nearest neighbours and their distance in Å.
Atoms (fractional coordinates):
La1 0.1523 0.1523 0.1523  6 Au 3.02-3.12
La2 0.8477 0.8477 0.8477  6 Au 3.02-3.12
Cu1 0.5000 0.5000 0.5000  6 Au 2.50
Pd1 0.0000 0.5000 0.5000  6 Au 2.71-2.77
Pd2 0.5000 0.0000 0.5000  6 Au 2.71-2.77
Pd3 0.5000 0.5000 0.0000  6 Au 2.71-2.77
Au1 0.0784 0.0784 0.6918  2 Pd 2.71, 4 Au 2.80-2.82
Au2 0.0784 0.6918 0.0784  2 Pd 2.71, 4 Au 2.80-2.82
Au3 0.1333 0.5910 0.5910  1 Cu 2.50, 1 Pd 2.77
Au4 0.3082 0.9216 0.9216  2 Pd 2.71, 4 Au 2.80-2.82
Au5 0.4090 0.4090 0.8667  1 Cu 2.50, 1 Pd 2.77
Au6 0.4090 0.8667 0.4090  1 Cu 2.50, 1 Pd 2.77
Au7 0.5910 0.1333 0.5910  1 Cu 2.50, 1 Pd 2.77
Au8 0.5910 0.5910 0.1333  1 Cu 2.50, 1 Pd 2.77
Au9 0.6918 0.0784 0.0784  2 Pd 2.71, 4 Au 2.80-2.82
Au10 0.8667 0.4090 0.4090  1 Cu 2.50, 1 Pd 2.77
Au11 0.9216 0.3082 0.9216  2 Pd 2.71, 4 Au 2.80-2.82
Au12 0.9216 0.9216 0.3082  2 Pd 2.71, 4 Au 2.80-2.82

Results
uncorrected energy = -3.913 eV per atom
theoretical density = 12643 kg/m³
symmetry = R-3m, No. 166
E_form = -1.57 eV per formula unit



No. 12
Here is a relaxed structure of Bi2SbS from Alexandria via LeMat-Bulk. Energies are from PBE.

Cell: 7.4848 7.4848 7.4848 Å, 90.00 90.00 90.00°
Last column: nearest neighbours and their distance in Å.
Atoms (fractional coordinates):
Bi1 0.2500 0.2500 0.2500  4 Sb 3.24, 4 S 3.24
Bi2 0.2500 0.2500 0.7500  4 S 3.24, 4 Sb 3.24
Bi3 0.2500 0.7500 0.2500  4 S 3.24, 4 Sb 3.24
Bi4 0.2500 0.7500 0.7500  4 Sb 3.24, 4 S 3.24
Bi5 0.7500 0.2500 0.2500  4 S 3.24, 4 Sb 3.24
Bi6 0.7500 0.2500 0.7500  4 Sb 3.24, 4 S 3.24
Bi7 0.7500 0.7500 0.2500  4 Sb 3.24, 4 S 3.24
Bi8 0.7500 0.7500 0.7500  4 S 3.24, 4 Sb 3.24
Sb1 0.0000 0.0000 0.0000  8 Bi 3.24
Sb2 0.0000 0.5000 0.5000  8 Bi 3.24
Sb3 0.5000 0.0000 0.5000  8 Bi 3.24
Sb4 0.5000 0.5000 0.0000  8 Bi 3.24
S1 0.0000 0.0000 0.5000  8 Bi 3.24
S2 0.0000 0.5000 0.0000  8 Bi 3.24
S3 0.5000 0.0000 0.0000  8 Bi 3.24
S4 0.5000 0.5000 0.5000  8 Bi 3.24

Results
uncorrected energy = -3.886 eV per atom
theoretical density = 9057 kg/m³
E_form (uncorrected) = 117 meV per atom
symmetry = Fm-3m, No. 225



No. 13
Here is a relaxed structure of YFe2Pb from Alexandria via LeMat-Bulk. Energies are from PBE.

Cell: 4.4957 4.4957 3.8032 Å, 90.00 90.00 90.00°
Last column: nearest neighbours and their distance in Å.
Atoms (fractional coordinates):
Y1 0.0000 0.0000 0.0000  8 Fe 2.94, 4 Pb 3.18
Fe1 0.0000 0.5000 0.5000  4 Pb 2.94, 4 Y 2.94, 4 Fe 3.18
Fe2 0.5000 0.0000 0.5000  4 Pb 2.94, 4 Y 2.94, 4 Fe 3.18
Pb1 0.5000 0.5000 0.0000  8 Fe 2.94, 4 Y 3.18

Results
uncorrected energy = -6.515 eV per atom
theoretical density = 8809 kg/m³
symmetry = P4/mmm, No. 123
E_form = 1.04 eV per formula unit



No. 14
Here is a relaxed structure of TlHg2S2 from Alexandria via LeMat-Bulk. Energies are from PBE.

Cell: 7.3648 7.3648 7.1045 Å, 117.12 117.12 96.84°
Last column: nearest neighbours and their distance in Å.
Atoms (fractional coordinates):
Tl1 0.1253 0.8747 0.7500  6 S 3.20-3.59, 2 Hg 3.47
Tl2 0.8747 0.1253 0.2500  6 S 3.20-3.59, 2 Hg 3.47
Hg1 0.2108 0.4599 0.9216  4 S 2.64-2.86
Hg2 0.4599 0.2108 0.4216  4 S 2.64-2.86
Hg3 0.5401 0.7892 0.5784  4 S 2.64-2.86
Hg4 0.7892 0.5401 0.0784  4 S 2.64-2.86
S1 0.1665 0.8335 0.2500  4 Hg 2.64-2.86
S2 0.4160 0.5840 0.7500  4 Hg 2.64-2.86
S3 0.5840 0.4160 0.2500  4 Hg 2.64-2.86
S4 0.8335 0.1665 0.7500  4 Hg 2.64-2.86

Results
uncorrected energy = -2.273 eV per atom
theoretical density = 7997 kg/m³
E_form (uncorrected) = -28 meV per atom
symmetry = C2/c, No. 15